AcAgGe2S6: relaxed, PBE.

Values from the calculation:
Space-group type: C2/c, No. 15
DOS(E_F): 0.00 states/eV/atom
Formation energy (no corrections): -0.7056 eV/atom
Volume: 515 Å³ per cell

```
20
Lattice="6.973 0.102 0.106 2.360 8.626 0.472 2.360 0.152 8.637" Properties=species:S:1:pos:R:3 pbc="T T T"
Ac 4.103 7.374 1.729
Ac 7.589 1.505 7.486
Ag 4.103 2.575 6.353
Ag 7.589 6.304 2.862
Ge 5.276 6.774 5.906
Ge 2.930 3.178 2.174
Ge 6.416 2.105 3.309
Ge 8.762 5.702 7.041
S 5.328 8.258 7.549
S 2.878 1.591 0.629
S 6.364 0.621 1.666
S 8.815 7.289 8.585
S 5.969 7.685 4.004
S 2.237 5.112 1.334
S 5.724 1.195 5.211
S 9.455 3.767 7.881
S 3.167 6.182 5.204
S 5.039 3.857 2.791
S 8.525 2.697 4.011
S 6.654 5.022 6.424
```